# 1
The following is a GGA-PBE calculation of a geometry-optimized Ac2HN structure, from Alexandria via LeMat-Bulk.

It has space group R3m (No. 160, hexagonal axes), with a = 3.8153 Å, b = 3.8153 Å, c = 20.1941 Å, α = 90.00°, β = 90.00° and γ = 120.00°. The inequivalent atoms are Ac at (0.0000, 0.0000, 0.0000), Ac at (0.0000, 0.0000, 0.1825), H at (0.0000, 0.0000, 0.4175) and N at (0.0000, 0.0000, 0.5847).

The value obtained for the electronic total energy is -5.63 eV per atom. The magnetization is 0.00 μB/f.u. The calculation puts the density of states at the Fermi level at 1.30 states/eV/f.u. The energy above the most stable polymorph in this dataset is 61.1 meV per atom.

=====

# 2
The following is a GGA-PBE calculation of a geometry-optimized Ac2HN structure, from Alexandria via LeMat-Bulk.

It has space group Fm-3m (No. 225), with a = 6.744 Å, b = 6.744 Å, c = 6.744 Å, α = 90.00°, β = 90.00° and γ = 90.00°. The inequivalent atoms are Ac at (0.250, 0.250, 0.250), H at (0.000, 0.000, 0.000) and N at (0.000, 0.000, 0.500).

The value obtained for the electronic total energy is -5.08 eV per atom. The magnetization is 0.00 μB/f.u. The calculation puts the density of states at the Fermi level at 2.38 states/eV/f.u. The energy above the most stable polymorph in this dataset is 606.3 meV per atom.